1.
ScTl2In: optimized geometry, PBEsol. Values from VASP.

Cell and atoms, written as Quantum ESPRESSO input:
```
&SYSTEM
  ibrav = 0, nat = 4, ntyp = 3
/
ATOMIC_SPECIES
Sc 44.96 Sc.upf
Tl 204.38 Tl.upf
In 114.82 In.upf
CELL_PARAMETERS angstrom
5.7843 -1.8109 0.0000
5.7843 1.8109 0.0000
-2.2375 0.0000 4.6079
ATOMIC_POSITIONS crystal
Sc 0.0000 0.0000 0.0000
Tl 0.2592 0.2592 0.7592
Tl 0.7408 0.7408 0.2408
In 0.5000 0.5000 0.5000
```

Energy (eV/atom): -3.8586
Calculated formation energy (eV per atom): -0.1466
SG: C2/m
Size of the total moment (Bohr magnetons per cell): 0.000
V (Å³ per cell): 96.5

2.
Mg3Sb: optimized geometry, PBEsol. Values from VASP.

Cell and atoms, written as Quantum ESPRESSO input:
```
&SYSTEM
  ibrav = 0, nat = 4, ntyp = 2
/
ATOMIC_SPECIES
Mg 24.30 Mg.upf
Sb 121.76 Sb.upf
CELL_PARAMETERS angstrom
4.4714 0.0000 0.0000
0.0000 4.4714 0.0000
0.0000 0.0000 4.4714
ATOMIC_POSITIONS crystal
Mg 0.0000 0.0000 0.5000
Mg 0.0000 0.5000 0.0000
Mg 0.5000 0.0000 0.0000
Sb 0.5000 0.5000 0.5000
```

Energy (eV/atom): -2.6188
E_form (uncorrected) (kJ/mol of atoms): -18.5
SG: Pm-3m
Size of the total moment (Bohr magnetons per cell): 0.000
V (Å³ per cell): 89.4

3.
SiH6N2F4: optimized geometry, PBEsol. Values from VASP.

Cell and atoms, written as Quantum ESPRESSO input:
```
&SYSTEM
  ibrav = 0, nat = 26, ntyp = 4
/
ATOMIC_SPECIES
Si 28.09 Si.upf
H 1.01 H.upf
N 14.01 N.upf
F 19.00 F.upf
CELL_PARAMETERS angstrom
5.0237 0.0000 0.0000
0.0000 6.8707 0.0000
-0.4949 0.0000 6.9509
ATOMIC_POSITIONS crystal
Si 0.0000 0.0000 0.0000
Si 0.0000 0.5000 0.5000
H 0.1819 0.0720 0.3269
H 0.1819 0.4280 0.8269
H 0.2175 0.6673 0.7840
H 0.2175 0.8327 0.2840
H 0.4255 0.5053 0.6938
H 0.4255 0.9947 0.1938
H 0.5745 0.0053 0.8062
H 0.5745 0.4947 0.3062
H 0.7825 0.1673 0.7160
H 0.7825 0.3327 0.2160
H 0.8181 0.5720 0.1731
H 0.8181 0.9280 0.6731
N 0.2294 0.5297 0.7246
N 0.2294 0.9703 0.2246
N 0.7706 0.0297 0.7754
N 0.7706 0.4703 0.2754
F 0.1077 0.2334 0.9847
F 0.1077 0.2666 0.4847
F 0.2497 0.5778 0.3626
F 0.2497 0.9222 0.8626
F 0.7503 0.0778 0.1374
F 0.7503 0.4222 0.6374
F 0.8923 0.7334 0.5153
F 0.8923 0.7666 0.0153
```

Energy (eV/atom): -5.4744
SG: P2_1/c
Size of the total moment (Bohr magnetons per cell): 0.000
V (Å³ per cell): 239.9

4.
Hg2TeS: optimized geometry, PBEsol. Values from VASP.

Cell and atoms, written as Quantum ESPRESSO input:
```
&SYSTEM
  ibrav = 0, nat = 4, ntyp = 3
/
ATOMIC_SPECIES
Hg 200.59 Hg.upf
Te 127.60 Te.upf
S 32.06 S.upf
CELL_PARAMETERS angstrom
2.1864 1.2623 7.1785
-2.1864 1.2623 7.1785
0.0000 -2.5247 7.1785
ATOMIC_POSITIONS crystal
Hg 0.0000 0.0000 0.0000
Hg 0.4837 0.4837 0.4837
Te 0.6141 0.6141 0.6141
S 0.1171 0.1171 0.1171
```

Energy (eV/atom): -2.3716
E_form (uncorrected) (kJ/mol of atoms): -10.7
SG: R3m
Size of the total moment (Bohr magnetons per cell): 0.000
V (Å³ per cell): 118.9

5.
Sn3HgB: optimized geometry, PBEsol. Values from VASP.

Cell and atoms, written as Quantum ESPRESSO input:
```
&SYSTEM
  ibrav = 0, nat = 5, ntyp = 3
/
ATOMIC_SPECIES
Sn 118.71 Sn.upf
Hg 200.59 Hg.upf
B 10.81 B.upf
CELL_PARAMETERS angstrom
5.4448 0.0000 0.0000
0.0000 5.4448 0.0000
0.0000 0.0000 5.4448
ATOMIC_POSITIONS crystal
Sn 0.0000 0.0000 0.5000
Sn 0.0000 0.5000 0.0000
Sn 0.5000 0.0000 0.0000
Hg 0.0000 0.0000 0.0000
B 0.5000 0.5000 0.5000
```

Energy (eV/atom): -2.5382
Calculated formation energy (eV per atom): 1.5341
SG: Pm-3m
Size of the total moment (Bohr magnetons per cell): 0.000
V (Å³ per cell): 161.4

6.
Li3VF6: optimized geometry, PBEsol. Values from VASP.

Cell and atoms, written as Quantum ESPRESSO input:
```
&SYSTEM
  ibrav = 0, nat = 20, ntyp = 3
/
ATOMIC_SPECIES
Li 6.94 Li.upf
V 50.94 V.upf
F 19.00 F.upf
CELL_PARAMETERS angstrom
4.2296 2.4419 3.3359
-4.2296 2.4419 3.3359
0.0000 -4.8839 3.3359
ATOMIC_POSITIONS crystal
Li 0.0562 0.5618 0.7498
Li 0.2502 0.9438 0.4382
Li 0.4382 0.2502 0.9438
Li 0.5618 0.7498 0.0562
Li 0.7498 0.0562 0.5618
Li 0.9438 0.4382 0.2502
V 0.0000 0.0000 0.0000
V 0.5000 0.5000 0.5000
F 0.0492 0.8972 0.6933
F 0.1028 0.3067 0.9508
F 0.1946 0.5752 0.4169
F 0.3067 0.9508 0.1028
F 0.4169 0.1946 0.5752
F 0.4248 0.5831 0.8054
F 0.5752 0.4169 0.1946
F 0.5831 0.8054 0.4248
F 0.6933 0.0492 0.8972
F 0.8054 0.4248 0.5831
F 0.8972 0.6933 0.0492
F 0.9508 0.1028 0.3067
```

Energy (eV/atom): -5.6239
E_form (uncorrected) (kJ/mol of atoms): -281.2
SG: R-3
Size of the total moment (Bohr magnetons per cell): 0.066
V (Å³ per cell): 206.7

7.
AlTc2Se: optimized geometry, PBEsol. Values from VASP.

Cell and atoms, written as Quantum ESPRESSO input:
```
&SYSTEM
  ibrav = 0, nat = 4, ntyp = 3
/
ATOMIC_SPECIES
Al 26.98 Al.upf
Tc 98.00 Tc.upf
Se 78.96 Se.upf
CELL_PARAMETERS angstrom
-1.4739 2.3835 4.2252
1.4739 -2.3835 4.2252
1.4739 2.3835 -4.2252
ATOMIC_POSITIONS crystal
Al 0.0000 0.0000 0.0000
Tc 0.2739 0.7739 0.5000
Tc 0.7261 0.2261 0.5000
Se 0.5000 0.5000 0.0000
```

Energy (eV/atom): -7.4322
E_form (uncorrected) (kJ/mol of atoms): 18.0
SG: Immm
Size of the total moment (Bohr magnetons per cell): 0.000
V (Å³ per cell): 59.4

8.
As2OsI2: optimized geometry, PBEsol. Values from VASP.

Cell and atoms, written as Quantum ESPRESSO input:
```
&SYSTEM
  ibrav = 0, nat = 5, ntyp = 3
/
ATOMIC_SPECIES
As 74.92 As.upf
Os 190.23 Os.upf
I 126.90 I.upf
CELL_PARAMETERS angstrom
-1.7402 1.7402 9.9645
1.7402 -1.7402 9.9645
1.7402 1.7402 -9.9645
ATOMIC_POSITIONS crystal
As 0.2500 0.7500 0.5000
As 0.7500 0.2500 0.5000
Os 0.0000 0.0000 0.0000
I 0.4192 0.4192 0.0000
I 0.5808 0.5808 0.0000
```

Energy (eV/atom): -4.2207
E_form (uncorrected) (kJ/mol of atoms): 93.8
SG: I4/mmm
Size of the total moment (Bohr magnetons per cell): 0.096
V (Å³ per cell): 120.7

9.
Ag2Cl: optimized geometry, PBEsol. Values from VASP.

Cell and atoms, written as Quantum ESPRESSO input:
```
&SYSTEM
  ibrav = 0, nat = 6, ntyp = 2
/
ATOMIC_SPECIES
Ag 107.87 Ag.upf
Cl 35.45 Cl.upf
CELL_PARAMETERS angstrom
1.9893 -7.6561 0.0000
1.9893 7.6561 0.0000
0.0000 0.0000 4.0355
ATOMIC_POSITIONS crystal
Ag 0.0666 0.9334 0.7500
Ag 0.4328 0.5672 0.7500
Ag 0.5672 0.4328 0.2500
Ag 0.9334 0.0666 0.2500
Cl 0.1797 0.8203 0.2500
Cl 0.8203 0.1797 0.7500
```

Energy (eV/atom): -3.0723
E_form (uncorrected) (kJ/mol of atoms): -18.9
SG: Cmcm
Size of the total moment (Bohr magnetons per cell): 0.000
V (Å³ per cell): 122.9

10.
Ba2Au: optimized geometry, PBEsol. Values from VASP.

Cell and atoms, written as Quantum ESPRESSO input:
```
&SYSTEM
  ibrav = 0, nat = 6, ntyp = 2
/
ATOMIC_SPECIES
Ba 137.33 Ba.upf
Au 196.97 Au.upf
CELL_PARAMETERS angstrom
-3.9385 3.9385 3.7623
3.9385 -3.9385 3.7623
3.9385 3.9385 -3.7623
ATOMIC_POSITIONS crystal
Ba 0.1925 0.6925 0.8850
Ba 0.3075 0.1925 0.5000
Ba 0.6925 0.8075 0.5000
Ba 0.8075 0.3075 0.1150
Au 0.2500 0.2500 0.0000
Au 0.7500 0.7500 0.0000
```

Energy (eV/atom): -3.1657
Calculated formation energy (eV per atom): -0.4250
SG: I4/mcm
Size of the total moment (Bohr magnetons per cell): 0.000
V (Å³ per cell): 233.4